The following is a DFT calculation (PBE-GGA) of crystalline Sc2Zn16Hg at its relaxed geometry.

Lattice parameters (Å, degrees): 8.9482 8.9482 13.1071 90.00 90.00 120.00
Closest atoms and distances in Å follow each position.
Space group R3m (No. 160, hexagonal axes)
Asymmetric unit:
Sc 0.0000 0.0000 0.0000 (multiplicity 3)  16 Zn 3.00-3.34
Sc 0.0000 0.0000 0.3253 (multiplicity 3)  1 Hg 3.07, 12 Zn 3.10-3.32
Zn 0.0000 0.0000 0.7709 (multiplicity 3)  6 Zn 2.63-2.84, 1 Hg 2.77
Zn 0.0208 0.5104 0.8184 (multiplicity 9)  8 Zn 2.49-2.76
Zn 0.0263 0.3584 0.3328 (multiplicity 18)  8 Zn 2.59-2.77
Zn 0.1718 0.3436 0.4999 (multiplicity 9)  9 Zn 2.59-2.71, 1 Hg 2.78
Zn 0.1718 0.3436 0.8463 (multiplicity 9)  8 Zn 2.49-2.75
Hg 0.0000 0.0000 0.5598 (multiplicity 3)  13 Zn 2.77-3.09, 1 Sc 3.07

VASP energy = -1.905 eV/atom
size of the total moment = 0.00 μB per formula unit
energy of formation from the pure elements = -14.4 kJ/mol of atoms

The following is a DFT calculation (PBE-GGA) of crystalline Sc2Zn2Hg at its relaxed geometry.

Lattice parameters (Å, degrees): 4.3048 4.3048 11.6473 90.00 90.00 90.00
Closest atoms and distances in Å follow each position.
Space group I4/mmm (No. 139)
Asymmetric unit:
Sc 0.0000 0.5000 0.2500 (multiplicity 4)  4 Zn 2.77, 4 Sc 3.04
Zn 0.0000 0.0000 0.1001 (multiplicity 4)  1 Zn 2.33
Hg 0.0000 0.0000 0.5000 (multiplicity 2)  8 Zn 3.26, 8 Sc 3.62

VASP energy = -3.032 eV/atom
size of the total moment = 0.92 μB per formula unit
energy of formation from the pure elements = 6.8 kJ/mol of atoms

The following is a DFT calculation (PBE-GGA) of crystalline Sc3Zn2Hg3 at its relaxed geometry.

Lattice parameters (Å, degrees): 7.3079 7.3079 3.5247 90.00 90.00 120.00
Closest atoms and distances in Å follow each position.
Space group P-62m (No. 189)
Asymmetric unit:
Sc 0.0000 0.3979 0.0000 (multiplicity 3)  4 Zn 2.85, 6 Hg 3.09-3.14
Zn 0.3333 0.6667 0.5000 (multiplicity 2)  3 Hg 2.81, 6 Sc 2.85
Hg 0.0000 0.7532 0.5000 (multiplicity 3)  2 Zn 2.81, 6 Sc 3.09-3.14, 2 Hg 3.12

VASP energy = -3.131 eV/atom
size of the total moment = 0.00 μB per formula unit
energy of formation from the pure elements = -31.3 kJ/mol of atoms

Look up the energy of formation from the pure elements of the first one. -14.4 kJ/mol of atoms